No. 1
An optimized crystal structure of K3NdSm2Te6. Source: the Alexandria database, functional PBE.

```
K3NdSm2Te6
1.0
7.9477 -0.0011 0.0003
-3.9729 6.8835 0.0003
-1.3253 -2.2948 8.2554
K Te Nd Sm
3 6 1 2
Cartesian
-2.6580 4.5940 4.1280 K
1.3248 2.2938 4.1280 K
5.3075 -0.0064 4.1280 K
-1.3350 2.3131 1.7601 Te
2.6388 4.5690 1.7591 Te
2.6707 -0.0003 1.7601 Te
3.9845 2.2745 6.4958 Te
0.0107 0.0186 6.4969 Te
-0.0212 4.5879 6.4958 Te
0.0000 0.0000 0.0000 Nd
-0.0004 4.5893 0.0003 Sm
3.9753 2.2931 0.0003 Sm
```

Summary:
**Raw formation energy**: -1.414 eV per atom
**Uncorrected energy**: -4.443 eV/atom
**Crystal system**: monoclinic
**Symmetry**: C2/m (12)

No. 2
An optimized crystal structure of ZnTe3. Source: the Alexandria database, functional PBE.

```
ZnTe3
1.0
4.2048 0.0000 0.0000
0.0000 6.3094 0.0000
0.0000 0.0000 8.3668
Zn Te
2 6
Cartesian
0.0000 0.0000 5.2513 Zn
2.1024 3.1547 3.1155 Zn
2.1024 4.7689 7.2097 Te
2.1024 0.0000 3.5655 Te
0.0000 3.1547 4.8014 Te
0.0000 1.6142 1.1572 Te
2.1024 1.5405 7.2097 Te
0.0000 4.6952 1.1572 Te
```

Summary:
**Raw formation energy**: 0.104 eV per atom
**Uncorrected energy**: -2.571 eV/atom
**Crystal system**: orthorhombic
**Symmetry**: Pmmn (59)
**DOS at the Fermi energy**: 0.513 states/eV per atom

No. 3
An optimized crystal structure of PmTmZr2. Source: the Alexandria database, functional PBE.

```
PmTmZr2
1.0
4.7949 0.0000 0.0000
0.0000 4.7285 0.0000
0.0000 0.0000 4.7285
Pm Zr Tm
1 2 1
Cartesian
2.3975 2.3643 2.3643 Pm
0.0000 2.3643 0.0000 Zr
0.0000 0.0000 2.3643 Zr
2.3975 0.0000 0.0000 Tm
```

Summary:
**Energy above the most stable polymorph in this dataset**: 0.000 eV/atom
**Uncorrected energy**: -6.440 eV/atom
**Crystal system**: tetragonal
**Symmetry**: P4/mmm (123)
**Energy of formation**: 0.14 eV per atom
**DOS at the Fermi energy**: 1.108 states/eV per atom

No. 4
An optimized crystal structure of Ac8Ir4Au. Source: the Alexandria database, functional PBE.

```
Ac8Ir4Au
1.0
4.3411 0.0000 0.9385
1.9889 10.8237 1.3094
-0.0835 -0.0125 10.8952
Ac Ir Au
8 4 1
Cartesian
2.8256 2.8687 7.9485 Ac
3.3886 7.7467 5.3446 Ac
4.2185 3.6202 12.0146 Ac
1.9970 7.0181 1.2722 Ac
2.6865 10.0126 8.5917 Ac
3.5254 0.6191 4.7118 Ac
4.8253 6.4368 9.2082 Ac
1.3613 4.2938 4.2123 Ac
3.8375 5.6545 3.2679 Ir
5.2190 8.8249 7.3869 Ir
1.0126 1.8147 5.8254 Ir
2.3688 4.9031 10.0613 Ir
4.3890 8.9687 11.2262 Au
```

Summary:
**Energy above the most stable polymorph in this dataset**: 0.002 eV/atom
**Uncorrected energy**: -6.091 eV/atom
**Crystal system**: monoclinic
**Symmetry**: Cm (8)
**Energy of formation**: -0.58 eV per atom
**DOS at the Fermi energy**: 0.560 states/eV per atom

No. 5
An optimized crystal structure of PmTc2C2. Source: the Alexandria database, functional PBE.

```
PmTc2C2
1.0
-3.5906 1.1303 -0.8585
-1.2423 -3.6322 0.4138
1.5184 2.1158 5.1172
Tc C Pm
2 2 1
Cartesian
-2.2444 0.9976 2.0182 Tc
-1.0702 -1.3837 2.6543 Tc
-0.5905 0.5686 3.2184 C
-2.7241 -0.9547 1.4542 C
0.0000 0.0000 0.0000 Pm
```

Summary:
**Energy above the most stable polymorph in this dataset**: 0.213 eV/atom
**Uncorrected energy**: -8.710 eV/atom
**Crystal system**: tetragonal
**Symmetry**: I4/mmm (139)
**Energy of formation**: 0.08 eV per atom
**DOS at the Fermi energy**: 1.047 states/eV per atom

No. 6
An optimized crystal structure of KGaOs. Source: the Alexandria database, functional PBE.

```
KGaOs
1.0
-1.4439 1.8998 3.3942
-2.2729 -2.1244 2.7575
9.5209 -5.0296 6.9149
Ga Os K
2 2 2
Cartesian
0.3747 -0.5777 1.3275 Ga
0.8567 -1.3754 7.0490 Ga
0.4721 -1.0476 4.1675 Os
-1.3091 -0.9627 5.8979 Os
5.2836 -5.1090 11.0700 K
3.0993 -3.9455 6.9053 K
```

Summary:
**Energy above the most stable polymorph in this dataset**: 0.086 eV/atom
**Uncorrected energy**: -4.830 eV/atom
**Crystal system**: triclinic
**Symmetry**: P1 (1)
**Energy of formation**: 0.29 eV per atom
**DOS at the Fermi energy**: 0.626 states/eV per atom

No. 7
An optimized crystal structure of LiHfRe2. Source: the Alexandria database, functional PBE.

```
LiHfRe2
1.0
7.1500 0.0000 0.0000
0.0000 7.1500 0.0000
3.5750 3.5750 2.5320
Re Li Hf
4 2 2
Cartesian
2.0454 5.3625 0.6330 Re
5.3625 5.6204 1.8990 Re
8.9375 8.6796 1.8990 Re
5.1046 1.7875 0.6330 Re
3.5750 7.1500 1.2660 Li
3.5750 3.5750 0.0000 Li
0.0000 0.0000 0.0000 Hf
7.1500 3.5750 1.2660 Hf
```

Summary:
**Energy above the most stable polymorph in this dataset**: 0.256 eV/atom
**Uncorrected energy**: -8.484 eV/atom
**Crystal system**: tetragonal
**Symmetry**: I-42d (122)
**Energy of formation**: 0.71 eV per atom
**DOS at the Fermi energy**: 0.589 states/eV per atom

No. 8
An optimized crystal structure of Rb2RhBr7. Source: the Alexandria database, functional PBE.

```
Rb2RhBr7
1.0
8.2803 0.0000 0.0000
0.0000 8.2803 0.0000
4.1401 4.1401 5.2498
Br Rb Rh
7 2 1
Cartesian
4.1401 4.1401 2.6715 Br
4.1401 4.1401 0.0000 Br
6.5173 1.7630 0.0000 Br
6.5173 6.5173 0.0000 Br
1.7630 6.5173 0.0000 Br
8.2803 8.2803 2.5783 Br
1.7630 1.7630 0.0000 Br
4.1401 8.2803 2.6249 Rb
8.2803 4.1401 2.6249 Rb
0.0000 0.0000 0.0000 Rh
```

Summary:
**Raw formation energy**: -0.775 eV per atom
**Uncorrected energy**: -2.875 eV/atom
**Crystal system**: tetragonal
**Symmetry**: I4/mmm (139)
**DOS at the Fermi energy**: 1.367 states/eV per atom

No. 9
An optimized crystal structure of Sm3YIn2. Source: the Alexandria database, functional PBE.

```
Sm3YIn2
1.0
-0.3826 -3.2414 3.8065
4.6087 -3.8061 -6.0804
4.8048 6.5913 6.0958
In Sm Y
4 6 2
Cartesian
4.9571 -4.3974 -3.2463 In
4.0738 3.9412 7.0682 In
2.4796 -3.7661 0.3448 In
6.5513 3.3100 3.4771 In
4.2165 1.3777 4.8995 Sm
6.9288 -2.3947 1.9598 Sm
2.1021 1.9385 1.8621 Sm
4.8144 -1.8338 -1.0777 Sm
5.5520 0.9627 1.3778 Sm
3.4789 -1.4188 2.4440 Sm
1.4034 -0.8029 -0.5426 Y
7.6275 0.3467 4.3645 Y
```

Summary:
**Energy above the most stable polymorph in this dataset**: 0.096 eV/atom
**Uncorrected energy**: -4.616 eV/atom
**Crystal system**: monoclinic
**Symmetry**: C2/m (12)
**Energy of formation**: -0.27 eV per atom
**DOS at the Fermi energy**: 1.026 states/eV per atom

No. 10
An optimized crystal structure of BaWCl6. Source: the Alexandria database, functional PBE.

```
BaWCl6
1.0
6.0471 0.3979 0.0000
1.9042 7.4912 0.0000
0.9521 3.7456 5.1609
Cl Ba W
6 1 1
Cartesian
5.4569 3.1218 1.6795 Cl
5.0525 6.0833 0.0000 Cl
2.8988 1.8057 0.0000 Cl
3.4465 8.5129 3.4814 Cl
6.4090 6.8674 3.4814 Cl
2.4944 4.7673 1.6795 Cl
0.0000 0.0000 0.0000 Ba
3.9756 3.9445 0.0000 W
```

Summary:
**Raw formation energy**: -1.389 eV per atom
**Uncorrected energy**: -4.633 eV/atom
**Crystal system**: monoclinic
**Symmetry**: C2/m (12)
**DOS at the Fermi energy**: 0.881 states/eV per atom

No. 11
An optimized crystal structure of BaReSb3. Source: the Alexandria database, functional PBE.

```
BaReSb3
1.0
-1.0396 5.0333 -1.4565
0.5008 -1.3826 -5.1355
-5.2158 -1.1360 -0.2028
Ba Sb Re
1 3 1
Cartesian
-2.8773 1.2573 -3.3974 Ba
-0.5198 2.5166 -0.7282 Sb
0.2504 -0.6913 -2.5678 Sb
-2.6079 -0.5680 -0.1014 Sb
0.0000 0.0000 0.0000 Re
```

Summary:
**Raw formation energy**: 0.144 eV per atom
**Energy above the most stable polymorph in this dataset**: 0.000 eV/atom
**Uncorrected energy**: -5.204 eV/atom
**Crystal system**: cubic
**Symmetry**: Pm-3m (221)
**DOS at the Fermi energy**: 1.247 states/eV per atom

No. 12
An optimized crystal structure of MnCrW2. Source: the Alexandria database, functional PBE.

```
MnCrW2
1.0
4.3156 0.0000 0.0000
2.1578 3.7374 0.0000
2.1578 1.2458 3.5237
W Mn Cr
2 1 1
Cartesian
6.4734 3.7374 2.6427 W
0.0000 0.0000 0.0000 W
2.1578 1.2458 0.8809 Mn
4.3156 2.4916 1.7618 Cr
```

Summary:
**Energy above the most stable polymorph in this dataset**: 0.081 eV/atom
**Uncorrected energy**: -11.024 eV/atom
**Crystal system**: cubic
**Symmetry**: F-43m (216)
**Energy of formation**: 0.15 eV per atom
**DOS at the Fermi energy**: 0.902 states/eV per atom